[1]
Entry from Alexandria via LeMat-Bulk: an optimized crystal structure of RuSeBr (PBE).

Cell: 4.5324 4.5324 4.5324 Å, 60.00 60.00 60.00°
Fractional positions:
1 Ru 0.0000 0.0000 0.0000
2 Se 0.2500 0.2500 0.2500
3 Br 0.5000 0.5000 0.5000

Calculated values
Uncorrected energy   -3.66 eV per atom
Calculated density   6.556 g/cm3
Raw formation energy   1149.7 meV per atom

***

[2]
Entry from Alexandria via LeMat-Bulk: an optimized crystal structure of RuSe2Br (PBE).

Cell: 2.8592 3.2286 9.8589 Å, 90.00 90.00 90.00°
Fractional positions:
1 Ru 0.0000 0.0000 0.0000
2 Se 0.5000 0.5000 0.1565
3 Se 0.5000 0.5000 0.8435
4 Br 0.0000 0.0000 0.5000

Calculated values
Uncorrected energy   -4.42 eV per atom
Calculated density   6.183 g/cm3
ΔE to the lowest computed polymorph   198 meV per atom
Raw formation energy   54.9 meV per atom

***

[3]
Entry from Alexandria via LeMat-Bulk: an optimized crystal structure of RuSe2Br (PBE).

Cell: 5.0441 3.7016 5.1409 Å, 90.00 116.07 90.00°
Fractional positions:
1 Ru 0.0000 0.0000 0.0000
2 Se 0.3658 0.5000 0.1634
3 Se 0.6342 0.5000 0.8366
4 Br 0.0000 0.0000 0.5000

Calculated values
Uncorrected energy   -4.57 eV per atom
Calculated density   6.527 g/cm3
ΔE to the lowest computed polymorph   53 meV per atom
Raw formation energy   -90.5 meV per atom

***

[4]
Entry from Alexandria via LeMat-Bulk: an optimized crystal structure of RuSe4Br (PBE).

Cell: 5.6963 5.6963 5.6963 Å, 60.00 60.00 60.00°
Fractional positions:
1 Ru 0.0000 0.0000 0.0000
2 Se 0.1232 0.6256 0.6256
3 Se 0.6256 0.1232 0.6256
4 Se 0.6256 0.6256 0.1232
5 Se 0.6256 0.6256 0.6256
6 Br 0.2500 0.2500 0.2500

Calculated values
Uncorrected energy   -3.18 eV per atom
Calculated density   6.312 g/cm3
ΔE to the lowest computed polymorph   1053 meV per atom
Raw formation energy   967.3 meV per atom

***

[5]
Entry from Alexandria via LeMat-Bulk: an optimized crystal structure of Ru2SeBr (PBE).

Cell: 2.9849 3.6130 7.8900 Å, 90.00 100.42 90.00°
Fractional positions:
1 Ru 0.0000 0.0000 0.0000
2 Ru 0.4229 0.5000 0.8386
3 Se 0.5755 0.5000 0.1578
4 Br 0.3119 0.0000 0.6063

Calculated values
Uncorrected energy   -5.76 eV per atom
Calculated density   7.163 g/cm3
ΔE to the lowest computed polymorph   0 meV per atom
Raw formation energy   165.9 meV per atom

***

[6]
Entry from Alexandria via LeMat-Bulk: an optimized crystal structure of RuSe2Br (PBE).

Cell: 5.1533 5.1533 3.3081 Å, 90.00 90.00 118.22°
Fractional positions:
1 Ru 0.0000 0.0000 0.0000
2 Se 0.0000 0.5000 0.5000
3 Se 0.5000 0.0000 0.5000
4 Br 0.5000 0.5000 0.0000

Calculated values
Uncorrected energy   -3.64 eV per atom
Calculated density   7.270 g/cm3
ΔE to the lowest computed polymorph   979 meV per atom
Raw formation energy   835.5 meV per atom

***

[7]
Entry from Alexandria via LeMat-Bulk: an optimized crystal structure of RuSeBr (PBE).

Cell: 3.6992 3.6992 5.9326 Å, 90.00 90.00 120.00°
Fractional positions:
1 Ru 0.0000 0.0000 0.0000
2 Se 0.6667 0.3333 0.1876
3 Br 0.3333 0.6667 0.7231

Calculated values
Uncorrected energy   -4.99 eV per atom
Calculated density   6.139 g/cm3
Raw formation energy   -174.8 meV per atom

***

[8]
Entry from Alexandria via LeMat-Bulk: an optimized crystal structure of Ru2SeBr (PBE).

Cell: 7.9525 7.9525 7.9525 Å, 22.79 22.79 22.79°
Fractional positions:
1 Ru 0.2429 0.2429 0.2429
2 Ru 0.7571 0.7571 0.7571
3 Se 0.5000 0.5000 0.5000
4 Br 0.0000 0.0000 0.0000

Calculated values
Uncorrected energy   -5.45 eV per atom
Calculated density   9.052 g/cm3
ΔE to the lowest computed polymorph   316 meV per atom
Raw formation energy   481.8 meV per atom

***

[9]
Entry from Alexandria via LeMat-Bulk: an optimized crystal structure of RuSe2Br (PBE).

Cell: 12.8370 12.8370 12.8370 Å, 13.02 13.02 13.02°
Fractional positions:
1 Ru 0.0000 0.0000 0.0000
2 Se 0.0622 0.0622 0.0622
3 Se 0.9378 0.9378 0.9378
4 Br 0.5000 0.5000 0.5000

Calculated values
Uncorrected energy   -4.11 eV per atom
Calculated density   6.029 g/cm3
ΔE to the lowest computed polymorph   513 meV per atom
Raw formation energy   370.2 meV per atom

***

[10]
Entry from Alexandria via LeMat-Bulk: an optimized crystal structure of Ru2SeBr (PBE).

Cell: 4.5714 4.5714 4.5714 Å, 60.00 60.00 60.00°
Fractional positions:
1 Ru 0.0000 0.0000 0.0000
2 Ru 0.2500 0.2500 0.2500
3 Se 0.5000 0.5000 0.5000
4 Br 0.7500 0.7500 0.7500

Calculated values
Uncorrected energy   -4.88 eV per atom
Calculated density   8.874 g/cm3
ΔE to the lowest computed polymorph   885 meV per atom
Raw formation energy   1051.2 meV per atom

***

[11]
Entry from Alexandria via LeMat-Bulk: an optimized crystal structure of Ru2SeBr4 (PBE).

Cell: 8.9906 8.9906 8.9906 Å, 144.85 144.85 50.56°
Fractional positions:
1 Ru 0.0657 0.0657 0.0000
2 Ru 0.9343 0.9343 0.0000
3 Se 0.5000 0.5000 0.0000
4 Br 0.0000 0.5000 0.5000
5 Br 0.2137 0.2137 0.0000
6 Br 0.5000 0.0000 0.5000
7 Br 0.7863 0.7863 0.0000

Calculated values
Uncorrected energy   -3.46 eV per atom
Calculated density   4.162 g/cm3
Raw formation energy   640.1 meV per atom

***

[12]
Entry from Alexandria via LeMat-Bulk: an optimized crystal structure of RuSe2Br (PBE).

Cell: 4.3599 3.8369 7.1311 Å, 90.00 102.54 90.00°
Fractional positions:
1 Ru 0.0000 0.0000 0.0000
2 Se 0.1741 0.5000 0.2269
3 Se 0.5777 0.0000 0.1562
4 Br 0.8970 0.5000 0.7527

Calculated values
Uncorrected energy   -4.54 eV per atom
Calculated density   4.833 g/cm3
ΔE to the lowest computed polymorph   78 meV per atom
Raw formation energy   -65.3 meV per atom

***

[13]
Entry from Alexandria via LeMat-Bulk: an optimized crystal structure of RuSe2Br (PBE).

Cell: 4.6981 4.6981 4.6981 Å, 60.00 60.00 60.00°
Fractional positions:
1 Ru 0.0000 0.0000 0.0000
2 Se 0.2500 0.2500 0.2500
3 Se 0.7500 0.7500 0.7500
4 Br 0.5000 0.5000 0.5000

Calculated values
Uncorrected energy   -3.72 eV per atom
Calculated density   7.675 g/cm3
ΔE to the lowest computed polymorph   905 meV per atom
Raw formation energy   761.3 meV per atom

***

[14]
Entry from Alexandria via LeMat-Bulk: an optimized crystal structure of RuSeBr (PBE).

Cell: 8.4731 8.4731 3.7607 Å, 90.00 90.00 90.00°
Fractional positions:
1 Ru 0.2222 0.7703 0.0000
2 Ru 0.2297 0.2222 0.5000
3 Ru 0.7703 0.7778 0.5000
4 Ru 0.7778 0.2297 0.0000
5 Se 0.0480 0.7493 0.5000
6 Se 0.2507 0.0480 0.0000
7 Se 0.7493 0.9520 0.0000
8 Se 0.9520 0.2507 0.5000
9 Br 0.2580 0.4387 0.0000
10 Br 0.4387 0.7420 0.5000
11 Br 0.5613 0.2580 0.5000
12 Br 0.7420 0.5613 0.0000

Calculated values
Uncorrected energy   -4.97 eV per atom
Calculated density   6.395 g/cm3
Raw formation energy   -157.7 meV per atom

***

[15]
Entry from Alexandria via LeMat-Bulk: an optimized crystal structure of Ru2SeBr (PBE).

Cell: 4.8556 4.8556 6.6068 Å, 93.60 93.60 37.78°
Fractional positions:
1 Ru 0.0000 0.0000 0.0000
2 Ru 0.7269 0.7269 0.0195
3 Se 0.3488 0.3488 0.7839
4 Br 0.5849 0.5849 0.3293

Calculated values
Uncorrected energy   -5.57 eV per atom
Calculated density   6.295 g/cm3
ΔE to the lowest computed polymorph   190 meV per atom
Raw formation energy   355.7 meV per atom

***

[16]
Entry from Alexandria via LeMat-Bulk: an optimized crystal structure of RuSeBr4 (PBE).

Cell: 6.1009 6.1009 6.1009 Å, 60.00 60.00 60.00°
Fractional positions:
1 Ru 0.0000 0.0000 0.0000
2 Se 0.7500 0.7500 0.7500
3 Br 0.3744 0.3744 0.3744
4 Br 0.3744 0.3744 0.8769
5 Br 0.3744 0.8769 0.3744
6 Br 0.8769 0.3744 0.3744

Calculated values
Uncorrected energy   -1.91 eV per atom
Calculated density   5.167 g/cm3
Raw formation energy   1330.0 meV per atom

***

[17]
Entry from Alexandria via LeMat-Bulk: an optimized crystal structure of RuSe2Br (PBE).

Cell: 6.7951 6.7951 6.7951 Å, 120.73 120.73 88.73°
Fractional positions:
1 Ru 0.0000 0.0000 0.0000
2 Ru 0.7500 0.2500 0.5000
3 Se 0.0357 0.6250 0.9107
4 Se 0.3750 0.2857 0.4107
5 Se 0.7143 0.1250 0.0893
6 Se 0.8750 0.9643 0.5893
7 Br 0.2500 0.7500 0.5000
8 Br 0.5000 0.5000 0.0000

Calculated values
Uncorrected energy   -4.42 eV per atom
Calculated density   5.131 g/cm3
ΔE to the lowest computed polymorph   198 meV per atom
Raw formation energy   54.6 meV per atom

***

[18]
Entry from Alexandria via LeMat-Bulk: an optimized crystal structure of RuSe2Br (PBE).

Cell: 3.3211 4.3101 5.4051 Å, 90.00 90.00 90.00°
Fractional positions:
1 Ru 0.0000 0.0000 0.0000
2 Se 0.0000 0.5000 0.5000
3 Se 0.5000 0.0000 0.5000
4 Br 0.5000 0.5000 0.0000

Calculated values
Uncorrected energy   -3.66 eV per atom
Calculated density   7.273 g/cm3
ΔE to the lowest computed polymorph   966 meV per atom
Raw formation energy   822.3 meV per atom

***

[19]
Entry from Alexandria via LeMat-Bulk: an optimized crystal structure of Ru2SeBr (PBE).

Cell: 3.2810 3.2810 8.1273 Å, 90.00 90.00 124.01°
Fractional positions:
1 Ru 0.0000 0.0000 0.2255
2 Ru 0.0000 0.0000 0.7745
3 Se 0.5000 0.5000 0.0000
4 Br 0.5000 0.5000 0.5000

Calculated values
Uncorrected energy   -5.18 eV per atom
Calculated density   8.265 g/cm3
ΔE to the lowest computed polymorph   577 meV per atom
Raw formation energy   742.4 meV per atom

***

[20]
Entry from Alexandria via LeMat-Bulk: an optimized crystal structure of RuSeBr3 (PBE).

Cell: 5.0093 5.0093 5.0093 Å, 90.00 90.00 90.00°
Fractional positions:
1 Ru 0.0000 0.0000 0.0000
2 Se 0.5000 0.5000 0.5000
3 Br 0.0000 0.0000 0.5000
4 Br 0.0000 0.5000 0.0000
5 Br 0.5000 0.0000 0.0000

Calculated values
Uncorrected energy   -3.07 eV per atom
Calculated density   5.545 g/cm3
ΔE to the lowest computed polymorph   0 meV per atom
Raw formation energy   486.5 meV per atom